# 1
DFT (PBE) results for a relaxed Sr2Ag3Hg crystal.

abc: 9.805 9.431 6.339
angles: 73.98 67.60 38.42
Fractional positions:
1 Sr 0.250 0.250 0.250
2 Sr 0.250 0.750 0.750
3 Sr 0.750 0.250 0.250
4 Sr 0.750 0.750 0.750
5 Ag 0.165 0.165 0.835
6 Ag 0.165 0.671 0.329
7 Ag 0.329 0.835 0.165
8 Ag 0.671 0.165 0.835
9 Ag 0.835 0.329 0.671
10 Ag 0.835 0.835 0.165
11 Hg 0.333 0.333 0.667
12 Hg 0.667 0.667 0.333

Distance to the lowest polymorph of the same formula (meV/atom): 5
Total magnetic moment (μB/cell): 0.00
Energy relative to the elements (meV per atom): -335
Fermi-level density of states (states/eV/cell): 5.85


# 2
DFT (PBE) results for a relaxed HfNbRh crystal.

abc: 4.573 4.573 2.941
angles: 90.00 90.00 120.00
Fractional positions:
1 Hf 0.000 0.000 0.000
2 Nb 0.333 0.667 0.620
3 Rh 0.667 0.333 0.324

Distance to the lowest polymorph of the same formula (meV/atom): 250
Total magnetic moment (μB/cell): 0.00
Energy relative to the elements (meV per atom): -199
Fermi-level density of states (states/eV/cell): 3.41


# 3
DFT (PBE) results for a relaxed LaZr3Co crystal.

abc: 4.976 4.976 4.976
angles: 90.00 90.00 90.00
Fractional positions:
1 La 0.000 0.000 0.000
2 Zr 0.000 0.500 0.500
3 Zr 0.500 0.000 0.500
4 Zr 0.500 0.500 0.000
5 Co 0.500 0.500 0.500

Distance to the lowest polymorph of the same formula (meV/atom): 0
Total magnetic moment (μB/cell): 0.00
Energy relative to the elements (meV per atom): 71
Fermi-level density of states (states/eV/cell): 3.93